Computed, not measured: TiPtSI2 after structural relaxation at the PBEsol level of DFT.

Cell: 5.7273 5.7273 4.2589 Å, 90.00 90.00 90.00°
Atoms (fractional coordinates):
Ti  0.0000  0.0000  0.0000
Pt  0.5000  0.5000  0.0000
S  0.5000  0.5000  0.5000
I  0.0000  0.5000  0.5000
I  0.5000  0.0000  0.5000

Properties
ΔE_f (raw)   0.703 eV/atom

---

Computed, not measured: TlCoPtC2 after structural relaxation at the PBEsol level of DFT.

Cell: 4.1987 4.1987 5.1181 Å, 90.00 90.00 90.00°
Atoms (fractional coordinates):
Tl  0.0000  0.0000  0.0000
Co  0.5000  0.5000  0.5000
Pt  0.0000  0.0000  0.5000
C  0.0000  0.5000  0.0000
C  0.5000  0.0000  0.0000

Properties
E_form   16.01 eV per formula unit

---

Across the entries above, magnetization takes the values 0.508 0.405 μB/atom, respectively.